1.
A relaxed ErBi2RhO6 crystal, computed with GGA-PBE.

Crystal system: monoclinic
V: 274.4 Å³ per cell
SG: No. 14
Formation energy from raw total energies: -1.638 eV per atom
Electronic total energy: -131.6 eV/cell

```
ErBi2RhO6
1.0
5.588 0.000 0.000
0.000 6.045 0.000
-5.432 0.000 8.124
Er Bi Rh O
2 4 2 12
Cartesian
0.000 0.000 0.000
-2.716 3.022 4.062
-2.600 0.333 5.974
0.116 2.689 1.912
0.040 3.355 6.211
2.756 5.712 2.149
0.078 0.000 4.062
2.794 3.022 0.000
-0.648 0.287 2.134
-3.363 2.735 6.195
1.007 4.065 0.306
-1.709 5.002 4.368
1.786 1.255 0.541
-0.930 1.768 4.602
1.086 4.277 3.521
-1.630 4.790 7.583
1.865 1.043 3.756
-0.850 1.980 7.818
3.520 3.309 1.928
0.804 5.758 5.990
```

=====

2.
A relaxed Er2BiRuO8 crystal, computed with GGA-PBE.

Crystal system: monoclinic
V: 166.7 Å³ per cell
SG: No. 10
Formation energy from raw total energies: -2.000 eV per atom
Electronic total energy: -86.0 eV/cell

```
Er2BiRuO8
1.0
4.989 0.000 0.000
0.000 6.690 0.000
-0.114 0.000 4.995
Er Bi Ru O
2 1 1 8
Cartesian
0.000 1.645 0.000
0.000 5.045 0.000
2.438 3.345 2.497
2.438 0.000 2.497
0.943 3.345 0.958
1.110 0.000 1.130
1.500 1.500 3.407
1.500 5.190 3.407
3.375 1.500 1.588
3.375 5.190 1.588
3.765 0.000 3.865
3.932 3.345 4.036
```

=====

3.
A relaxed ErBi2RuO8 crystal, computed with GGA-PBE.

Crystal system: monoclinic
V: 174.4 Å³ per cell
SG: No. 10
Formation energy from raw total energies: -1.471 eV per atom
Electronic total energy: -78.9 eV/cell

```
ErBi2RuO8
1.0
5.072 0.000 0.000
0.000 6.748 0.000
-0.051 0.000 5.097
Er Bi Ru O
1 2 1 8
Cartesian
0.000 0.000 0.000
2.510 1.708 2.548
2.510 5.040 2.548
0.000 3.374 0.000
0.839 1.861 1.005
0.839 4.887 1.005
1.384 3.374 3.911
1.594 0.000 3.578
3.426 0.000 1.519
3.637 3.374 1.186
4.182 1.861 4.091
4.182 4.887 4.091
```

=====

4.
A relaxed ErBi2SbO8 crystal, computed with GGA-PBE.

Crystal system: orthorhombic
V: 176.0 Å³ per cell
SG: No. 65
Formation energy from raw total energies: -1.650 eV per atom
Electronic total energy: -75.9 eV/cell

```
ErBi2SbO8
1.0
3.559 -3.578 0.000
3.559 3.578 0.000
0.000 0.000 6.910
Er Bi Sb O
1 2 1 8
Cartesian
0.000 0.000 0.000
3.559 0.000 1.751
3.559 0.000 5.159
0.000 0.000 3.455
1.296 0.000 1.893
1.296 0.000 5.017
3.559 1.535 3.455
3.559 1.349 0.000
3.559 -1.349 0.000
3.559 -1.535 3.455
5.822 0.000 1.893
5.822 0.000 5.017
```

=====

5.
A relaxed ErScBi2O6 crystal, computed with GGA-PBE.

Crystal system: trigonal
V: 149.0 Å³ per cell
SG: No. 146
Formation energy from raw total energies: -2.376 eV per atom
Electronic total energy: -72.2 eV/cell

```
ErScBi2O6
1.0
2.942 1.699 4.969
-2.942 1.699 4.969
0.000 -3.397 4.969
Er Sc Bi O
1 1 2 6
Cartesian
0.000 0.000 0.000
0.000 0.000 7.419
0.000 0.000 4.248
0.000 0.000 11.693
-1.599 0.230 5.896
-1.281 -1.383 8.337
0.600 -1.500 5.896
-0.557 1.801 8.337
0.999 1.270 5.896
1.838 -0.418 8.337
```

=====

6.
A relaxed ErSiBiO5 crystal, computed with GGA-PBE.

Crystal system: monoclinic
V: 226.0 Å³ per cell
SG: No. 15
Formation energy from raw total energies: -2.527 eV per atom
Electronic total energy: -117.8 eV/cell

```
ErSiBiO5
1.0
3.390 -4.695 0.000
3.390 4.695 0.000
-2.690 0.000 7.101
Er Si Bi O
2 2 2 10
Cartesian
0.000 0.000 0.000
-1.345 0.000 3.550
1.372 1.688 5.325
2.717 -1.688 1.775
2.717 1.590 1.775
1.372 -1.590 5.325
0.258 2.697 6.068
2.717 3.700 1.775
0.720 0.717 4.161
2.485 2.697 4.583
2.066 -0.717 0.611
2.023 0.717 6.489
1.603 -2.697 2.518
3.368 -0.717 2.939
1.372 -3.700 5.325
3.831 -2.697 1.033
```

=====

7.
A relaxed SmErBiO2 crystal, computed with GGA-PBE.

Crystal system: tetragonal
V: 104.8 Å³ per cell
SG: No. 107
Formation energy from raw total energies: -2.653 eV per atom
Electronic total energy: -36.3 eV/cell

```
SmErBiO2
1.0
-1.957 1.957 6.841
1.957 -1.957 6.841
1.957 1.957 -6.841
Sm Er Bi O
1 1 1 2
Cartesian
0.000 0.000 0.000
0.000 0.000 4.593
0.000 0.000 9.155
1.957 0.000 5.638
0.000 1.957 5.638
```

=====

8.
A relaxed ErSnBi2O6 crystal, computed with GGA-PBE.

Crystal system: trigonal
V: 155.1 Å³ per cell
SG: No. 146
Formation energy from raw total energies: -1.763 eV per atom
Electronic total energy: -63.7 eV/cell

```
ErSnBi2O6
1.0
3.028 1.748 4.885
-3.028 1.748 4.885
0.000 -3.496 4.885
Er Sn Bi O
1 1 2 6
Cartesian
0.000 0.000 0.000
0.000 0.000 7.336
0.000 0.000 4.108
0.000 0.000 11.405
-1.626 0.261 5.763
-1.391 -1.609 8.122
0.587 -1.538 5.763
-0.698 2.009 8.122
1.039 1.277 5.763
2.089 -0.400 8.122
```

=====

9.
A relaxed Sr2ErBiO6 crystal, computed with GGA-PBE.

Crystal system: monoclinic
V: 303.7 Å³ per cell
SG: No. 14
Formation energy from raw total energies: -2.456 eV per atom
Electronic total energy: -132.2 eV/cell

```
Sr2ErBiO6
1.0
5.933 0.000 0.000
0.000 6.053 0.000
-5.919 0.000 8.457
Sr Er Bi O
4 2 2 12
Cartesian
-0.063 0.261 2.116
-3.023 2.765 6.345
3.037 3.288 2.112
0.077 5.792 6.341
2.967 0.000 0.000
0.007 3.027 4.228
-2.960 0.000 4.228
0.000 3.027 0.000
-4.733 1.286 8.035
-1.774 1.740 3.806
-4.208 4.255 8.054
-1.249 4.825 3.825
-2.412 0.194 6.295
0.547 2.833 2.067
-0.533 3.221 6.390
2.426 5.860 2.162
1.263 1.228 4.632
4.222 1.798 0.403
1.788 4.313 4.651
4.747 4.767 0.422
```

=====

10.
A relaxed ErTaBiO6 crystal, computed with GGA-PBE.

Crystal system: tetragonal
V: 254.6 Å³ per cell
SG: No. 102
Formation energy from raw total energies: -2.439 eV per atom
Electronic total energy: -144.0 eV/cell

```
ErTaBiO6
1.0
5.017 0.000 0.000
0.000 5.017 0.000
0.000 0.000 10.115
Er Ta Bi O
2 2 2 12
Cartesian
0.000 0.000 0.000
2.509 2.509 5.058
0.000 0.000 6.721
2.509 2.509 1.663
0.000 0.000 3.339
2.509 2.509 8.396
0.919 0.919 8.284
0.939 0.939 5.240
1.078 1.078 1.672
1.431 3.586 6.729
1.569 3.448 0.182
1.590 3.428 3.227
3.428 1.590 3.227
3.448 1.569 0.182
3.586 1.431 6.729
3.939 3.939 1.672
4.078 4.078 5.240
4.098 4.098 8.284
```

=====

11.
A relaxed ErTaBi2O8 crystal, computed with GGA-PBE.

Crystal system: orthorhombic
V: 175.3 Å³ per cell
SG: No. 65
Formation energy from raw total energies: -2.070 eV per atom
Electronic total energy: -88.7 eV/cell

```
ErTaBi2O8
1.0
3.571 -3.591 0.000
3.571 3.591 0.000
0.000 0.000 6.838
Er Ta Bi O
1 1 2 8
Cartesian
0.000 0.000 0.000
0.000 0.000 3.419
3.571 0.000 1.737
3.571 0.000 5.101
1.299 0.000 1.887
1.299 0.000 4.951
3.571 1.555 3.419
3.571 1.365 0.000
3.571 -1.365 0.000
3.571 -1.555 3.419
5.842 0.000 1.887
5.842 0.000 4.951
```

=====

12.
A relaxed TbErBi2O6 crystal, computed with GGA-PBE.

Crystal system: trigonal
V: 159.3 Å³ per cell
SG: No. 146
Formation energy from raw total energies: -2.381 eV per atom
Electronic total energy: -70.5 eV/cell

```
TbErBi2O6
1.0
3.009 1.737 5.079
-3.009 1.737 5.079
0.000 -3.475 5.079
Tb Er Bi O
1 1 2 6
Cartesian
0.000 0.000 0.000
0.000 0.000 7.593
0.000 0.000 4.349
0.000 0.000 11.976
-1.658 0.170 5.962
-1.330 -1.540 8.490
0.681 -1.521 5.962
-0.669 1.922 8.490
0.976 1.351 5.962
1.999 -0.382 8.490
```

=====

Number 7 is which compound? SmErBiO2